# FeHOs2Pd | Alexandria via LeMat-Bulk | PBE | relaxed
data_FeHOs2Pd
_chemical_formula_sum 'Fe1 H1 Os2 Pd1'
_symmetry_space_group_name_H-M 'P 1'
_symmetry_Int_Tables_number 1
_symmetry_space_group_name_Hall 'P 1'
_cell_length_a 4.656
_cell_length_b 4.656
_cell_length_c 2.906
_cell_angle_alpha 90.00
_cell_angle_beta 90.00
_cell_angle_gamma 90.00
loop_
_atom_site_label
_atom_site_fract_x
_atom_site_fract_y
_atom_site_fract_z
Fe1 0.000 0.000 0.000
H1 0.000 0.000 0.500
Os1 0.000 0.500 0.000
Os2 0.500 0.000 0.000
Pd1 0.500 0.500 0.500
# Space-group type: P4/mmm (123)
# DOS at the Fermi energy (states/eV/f.u.): 5.0
# Size of the total moment (μB/f.u.): 0.000
# Calculated total energy (eV per atom): -6.895

***

# FeReHOs2 | Alexandria via LeMat-Bulk | PBE | relaxed
data_FeReHOs2
_chemical_formula_sum 'Fe1 Re1 H1 Os2'
_symmetry_space_group_name_H-M 'P 1'
_symmetry_Int_Tables_number 1
_symmetry_space_group_name_Hall 'P 1'
_cell_length_a 3.868
_cell_length_b 3.868
_cell_length_c 3.776
_cell_angle_alpha 90.00
_cell_angle_beta 90.00
_cell_angle_gamma 90.00
loop_
_atom_site_label
_atom_site_fract_x
_atom_site_fract_y
_atom_site_fract_z
Fe1 0.000 0.000 0.000
Re1 0.500 0.500 0.000
H1 0.000 0.000 0.500
Os1 0.000 0.500 0.500
Os2 0.500 0.000 0.500
# Space-group type: P4/mmm (123)
# DOS at the Fermi energy (states/eV/f.u.): 3.5
# Size of the total moment (μB/f.u.): 0.002
# Calculated total energy (eV per atom): -9.179

***

Which of these has the lowest size of the total moment?
FeHOs2Pd

***

Repeat the second record exactly.
# FeReHOs2 | Alexandria via LeMat-Bulk | PBE | relaxed
data_FeReHOs2
_chemical_formula_sum 'Fe1 Re1 H1 Os2'
_symmetry_space_group_name_H-M 'P 1'
_symmetry_Int_Tables_number 1
_symmetry_space_group_name_Hall 'P 1'
_cell_length_a 3.868
_cell_length_b 3.868
_cell_length_c 3.776
_cell_angle_alpha 90.00
_cell_angle_beta 90.00
_cell_angle_gamma 90.00
loop_
_atom_site_label
_atom_site_fract_x
_atom_site_fract_y
_atom_site_fract_z
Fe1 0.000 0.000 0.000
Re1 0.500 0.500 0.000
H1 0.000 0.000 0.500
Os1 0.000 0.500 0.500
Os2 0.500 0.000 0.500
# Space-group type: P4/mmm (123)
# DOS at the Fermi energy (states/eV/f.u.): 3.5
# Size of the total moment (μB/f.u.): 0.002
# Calculated total energy (eV per atom): -9.179

***

Which of these has the lowest size of the total moment?
FeHOs2Pd

***

Number 1 is which compound?
FeHOs2Pd